Crystalline Sr2Mg2Si at its relaxed geometry, computed with PBE-GGA.

CIF file:
```
data_Sr2Mg2Si
_symmetry_space_group_name_H-M 'P 4/m b m'
_symmetry_Int_Tables_number 127
_symmetry_space_group_name_Hall '-P 4 2ab'
_cell_length_a 7.432
_cell_length_b 7.432
_cell_length_c 5.445
_cell_angle_alpha 90.00
_cell_angle_beta 90.00
_cell_angle_gamma 90.00
loop_
_atom_site_label
_atom_site_type_symbol
_atom_site_fract_x
_atom_site_fract_y
_atom_site_fract_z
_atom_site_occupancy
Sr1 Sr 0.183 0.317 0.000 1
Mg1 Mg 0.137 0.637 0.500 1
Si1 Si 0.000 0.000 0.500 1
```

Summary:
The value obtained for the calculated density is 2.78 g/cm3. The raw total energy is -2.40 eV per atom.